# 1
Computed, not measured: crystalline Th8Ge3RuSe4 at its relaxed geometry at the PBE-GGA level of DFT.

space-group type	R-3m, No. 166
total energy	-115.1	eV per formula unit
total moment	0.000	μB/atom

extended XYZ file:
```
16
Lattice="4.276 2.469 6.918 -4.276 2.469 6.918 0.000 -4.938 6.918" Properties=species:S:1:pos:R:3 pbc="T T T"
Th 0.000 0.000 5.131
Th -2.053 -1.185 11.973
Th 0.000 -2.370 8.780
Th -2.053 1.185 8.780
Th 2.053 -1.185 11.973
Th 0.000 2.370 11.973
Th 2.053 1.185 8.780
Th 0.000 0.000 15.622
Ge -4.276 0.000 10.376
Ge -2.138 1.234 3.459
Ge 2.138 1.234 3.459
Ru 0.000 0.000 10.376
Se 0.000 0.000 0.000
Se -2.138 -1.234 6.918
Se -2.138 1.234 13.835
Se 0.000 2.469 6.918
```

=====

# 2
Computed, not measured: crystalline NaCd3Rh8O16 at its relaxed geometry at the PBE-GGA level of DFT.

space-group type	Pm, No. 6
total energy	-164.8	eV per formula unit
total moment	0.000	μB/atom

extended XYZ file:
```
28
Lattice="9.268 0.000 0.000 0.000 3.111 0.000 -0.034 0.000 10.951" Properties=species:S:1:pos:R:3 pbc="T T T"
Na 0.000 0.000 0.000
Cd 4.334 1.555 3.496
Cd 4.611 0.000 8.979
Cd 8.966 1.555 5.440
Rh 1.280 0.000 2.799
Rh 1.642 0.000 8.509
Rh 2.639 1.555 5.940
Rh 3.013 1.555 0.657
Rh 5.923 0.000 6.140
Rh 6.360 0.000 0.443
Rh 7.281 1.555 2.995
Rh 7.668 1.555 8.313
O 0.373 1.555 8.975
O 1.124 1.555 1.441
O 1.356 0.000 6.469
O 1.615 1.555 4.094
O 2.662 0.000 10.336
O 2.968 1.555 7.982
O 3.212 0.000 2.107
O 3.952 0.000 5.424
O 4.987 1.555 10.886
O 5.758 1.555 7.555
O 5.997 0.000 2.468
O 6.255 1.555 4.859
O 7.149 0.000 9.498
O 7.602 1.555 0.974
O 7.865 0.000 6.856
O 8.584 0.000 3.504
```

=====

# 3
Computed, not measured: crystalline Li3TmTl4 at its relaxed geometry at the PBE-GGA level of DFT.

space-group type	R-3m, No. 166
total energy	-21.7	eV per formula unit
formation energy from the elements	-0.249	eV/atom
total moment	0.000	μB/atom

extended XYZ file:
```
8
Lattice="2.502 1.444 8.352 -2.502 1.444 8.352 0.000 -2.889 8.352" Properties=species:S:1:pos:R:3 pbc="T T T"
Li 0.000 0.000 0.000
Li 0.000 0.000 6.237
Li 0.000 0.000 18.819
Tm 0.000 0.000 12.528
Tl 0.000 0.000 2.974
Tl 0.000 0.000 9.305
Tl 0.000 0.000 15.751
Tl 0.000 0.000 22.082
```

=====

# 4
Computed, not measured: crystalline Re2TcAs at its relaxed geometry at the PBE-GGA level of DFT.

space-group type	C2/m, No. 12
total energy	-38.9	eV per formula unit
formation energy from the elements	0.253	eV/atom
total moment	0.000	μB/atom

extended XYZ file:
```
4
Lattice="4.693 -1.456 0.000 4.693 1.456 0.000 -0.407 0.000 4.439" Properties=species:S:1:pos:R:3 pbc="T T T"
Re 2.098 0.000 1.054
Re 6.882 0.000 3.385
Tc 4.693 0.000 0.000
As -0.203 0.000 2.219
```

=====

# 5
Computed, not measured: crystalline Tb3ThSb4 at its relaxed geometry at the PBE-GGA level of DFT.

space-group type	Cmmm, No. 65
total energy	-46.6	eV per formula unit
total moment	0.000	μB/atom

extended XYZ file:
```
8
Lattice="4.427 -6.261 0.000 4.427 6.261 0.000 0.000 0.000 4.438" Properties=species:S:1:pos:R:3 pbc="T T T"
Tb 0.000 0.000 0.000
Tb 2.213 3.131 2.219
Tb 2.213 -3.131 2.219
Th 4.427 0.000 0.000
Sb 2.169 0.000 2.219
Sb 4.427 3.158 0.000
Sb 4.427 -3.158 0.000
Sb 6.685 0.000 2.219
```

=====

# 6
Computed, not measured: crystalline NaMgZr3 at its relaxed geometry at the PBE-GGA level of DFT.

space-group type	Pm-3m, No. 221
total energy	-22.6	eV per formula unit
formation energy from the elements	1.200	eV/atom
total moment	0.000	μB/atom
distance to the lowest polymorph of the same formula	0	meV/atom

extended XYZ file:
```
5
Lattice="5.221 0.000 0.000 0.000 5.221 0.000 0.000 0.000 5.221" Properties=species:S:1:pos:R:3 pbc="T T T"
Na 0.000 0.000 0.000
Mg 2.610 2.610 2.610
Zr 0.000 2.610 2.610
Zr 2.610 0.000 2.610
Zr 2.610 2.610 0.000
```

=====

# 7
Computed, not measured: crystalline SrLi4Ge2 at its relaxed geometry at the PBE-GGA level of DFT.

space-group type	Cmmm, No. 65
total energy	-20.9	eV per formula unit
formation energy from the elements	-0.331	eV/atom
total moment	0.000	μB/atom

extended XYZ file:
```
7
Lattice="2.319 -6.602 0.000 2.319 6.602 0.000 0.000 0.000 4.663" Properties=species:S:1:pos:R:3 pbc="T T T"
Sr 0.000 0.000 0.000
Li 2.319 4.016 2.331
Li 2.319 2.419 0.000
Li 2.319 -2.419 0.000
Li 2.319 -4.016 2.331
Ge 2.319 1.260 2.331
Ge 2.319 -1.260 2.331
```

=====

# 8
Computed, not measured: crystalline SmEr2Ag at its relaxed geometry at the PBE-GGA level of DFT.

space-group type	P4/mmm, No. 123
total energy	-17.2	eV per formula unit
formation energy from the elements	-0.136	eV/atom
total moment	0.000	μB/atom
distance to the lowest polymorph of the same formula	0	meV/atom

extended XYZ file:
```
4
Lattice="3.566 0.000 0.000 0.000 3.566 0.000 0.000 0.000 8.818" Properties=species:S:1:pos:R:3 pbc="T T T"
Sm 0.000 0.000 0.000
Er 1.783 1.783 2.559
Er 1.783 1.783 6.259
Ag 0.000 0.000 4.409
```

=====

# 9
Computed, not measured: crystalline VNi3Pd3 at its relaxed geometry at the PBE-GGA level of DFT.

space-group type	C2/m, No. 12
total energy	-41.9	eV per formula unit
formation energy from the elements	0.021	eV/atom
total moment	0.000	μB/atom

extended XYZ file:
```
14
Lattice="4.186 -3.852 0.000 4.186 3.852 0.000 -0.108 0.000 5.990" Properties=species:S:1:pos:R:3 pbc="T T T"
V 1.972 0.000 2.746
V 6.292 0.000 3.243
Ni 0.088 0.000 4.287
Ni 1.997 1.672 4.371
Ni 1.997 -1.672 4.371
Ni 6.266 1.672 1.618
Ni 6.266 -1.672 1.618
Ni 8.176 0.000 1.703
Pd 2.067 0.000 0.256
Pd 4.186 1.802 0.000
Pd 4.132 1.449 2.995
Pd 4.132 -1.449 2.995
Pd 4.186 -1.802 0.000
Pd 6.196 0.000 5.733
```

=====

# 10
Computed, not measured: crystalline Ca2U2Ni15 at its relaxed geometry at the PBE-GGA level of DFT.

space-group type	R-3m, No. 166
total energy	-116.1	eV per formula unit
formation energy from the elements	-0.146	eV/atom
total moment	0.158	μB/atom

extended XYZ file:
```
19
Lattice="4.247 2.452 4.210 -4.247 2.452 4.210 0.000 -4.904 4.210" Properties=species:S:1:pos:R:3 pbc="T T T"
Ca 0.000 0.000 1.764
Ca 0.000 0.000 10.866
U 0.000 0.000 5.065
U 0.000 0.000 7.565
Ni -2.124 -1.226 4.210
Ni 0.000 -2.440 4.095
Ni -2.113 1.220 4.095
Ni -1.313 -2.274 6.315
Ni -2.625 0.000 6.315
Ni -2.113 -1.220 8.535
Ni -2.124 1.226 8.420
Ni 1.313 -2.274 6.315
Ni 0.000 2.452 4.210
Ni -1.313 2.274 6.315
Ni 2.113 1.220 4.095
Ni 2.625 0.000 6.315
Ni 1.313 2.274 6.315
Ni 2.113 -1.220 8.535
Ni 0.000 2.440 8.535
```

=====

# 11
Computed, not measured: crystalline SmHo2Si2 at its relaxed geometry at the PBE-GGA level of DFT.

space-group type	Immm, No. 71
total energy	-27.7	eV per formula unit
total moment	0.000	μB/atom

extended XYZ file:
```
5
Lattice="-2.192 3.180 4.278 2.192 -3.180 4.278 2.192 3.180 -4.278" Properties=species:S:1:pos:R:3 pbc="T T T"
Sm 0.000 0.000 0.000
Ho 2.192 0.000 2.580
Ho 0.000 3.180 1.699
Si 2.192 1.950 0.000
Si 0.000 1.230 4.278
```

=====

# 12
Computed, not measured: crystalline ScCoSi at its relaxed geometry at the PBE-GGA level of DFT.

space-group type	Pnma, No. 62
total energy	-20.3	eV per formula unit
total moment	0.000	μB/atom

extended XYZ file:
```
12
Lattice="5.629 0.000 0.000 0.000 4.138 0.000 0.000 0.000 7.716" Properties=species:S:1:pos:R:3 pbc="T T T"
Sc 0.968 1.035 0.681
Sc 1.847 3.104 4.538
Sc 3.782 1.035 3.177
Sc 4.661 3.104 7.035
Co 0.695 1.035 3.294
Co 2.119 3.104 7.152
Co 3.509 1.035 0.564
Co 4.934 3.104 4.421
Si 0.061 3.104 2.255
Si 2.753 1.035 6.113
Si 2.876 3.104 1.603
Si 5.568 1.035 5.461
```